Record 1
# BaNdAuS3, relaxed, DFT PBE
data_BaNdAuS3
_chemical_formula_sum 'Ba4 Nd4 Au4 S12'
_symmetry_space_group_name_H-M 'C 1 2/m 1'
_symmetry_Int_Tables_number 12
_symmetry_space_group_name_Hall '-C 2y'
_cell_length_a 18.1304
_cell_length_b 4.1406
_cell_length_c 8.5362
_cell_angle_alpha 90.00
_cell_angle_beta 101.87
_cell_angle_gamma 90.00
loop_
_atom_site_label
_atom_site_fract_x
_atom_site_fract_y
_atom_site_fract_z
Ba1 0.1312 0.0000 0.0778
Nd1 0.1624 0.0000 0.5865
Au1 0.0387 0.5000 0.7178
S1 0.0000 0.0000 0.5000
S2 0.0000 0.5000 0.0000
S3 0.1758 0.5000 0.3658
S4 0.1801 0.5000 0.8226
# **Calculated total energy**: -125.64 eV per cell
# **Total magnetic moment**: 0.003 μB per formula unit
# **V**: 26.1 Å³/atom

=====

Record 2
# BaNdAuSe2S, relaxed, DFT PBE
data_BaNdAuSe2S
_chemical_formula_sum 'Ba4 Nd4 Au4 Se8 S4'
_symmetry_space_group_name_H-M 'C m c m'
_symmetry_Int_Tables_number 63
_symmetry_space_group_name_Hall '-C 2c 2'
_cell_length_a 4.2782
_cell_length_b 14.2208
_cell_length_c 10.7517
_cell_angle_alpha 90.00
_cell_angle_beta 90.00
_cell_angle_gamma 90.00
loop_
_atom_site_label
_atom_site_fract_x
_atom_site_fract_y
_atom_site_fract_z
Ba1 0.0000 0.2406 0.2500
Nd1 0.0000 0.5000 0.0000
Au1 0.0000 0.0307 0.7500
Se1 0.0000 0.1429 0.5557
S1 0.0000 0.4251 0.7500
# **Calculated total energy**: -121.27 eV per cell
# **Total magnetic moment**: 0.003 μB per formula unit
# **V**: 27.3 Å³/atom

=====

Record 3
# BaNdTeAuS2, relaxed, DFT PBE
data_BaNdTeAuS2
_chemical_formula_sum 'Ba4 Nd4 Te4 Au4 S8'
_symmetry_space_group_name_H-M 'C m c m'
_symmetry_Int_Tables_number 63
_symmetry_space_group_name_Hall '-C 2c 2'
_cell_length_a 4.2268
_cell_length_b 15.0991
_cell_length_c 11.2992
_cell_angle_alpha 90.00
_cell_angle_beta 90.00
_cell_angle_gamma 90.00
loop_
_atom_site_label
_atom_site_fract_x
_atom_site_fract_y
_atom_site_fract_z
Ba1 0.0000 0.2120 0.2500
Nd1 0.0000 0.0000 0.0000
Te1 0.0000 0.1040 0.7500
Au1 0.0000 0.4827 0.7500
S1 0.0000 0.3803 0.5714
# **Calculated total energy**: -119.96 eV per cell
# **Total magnetic moment**: 0.005 μB per formula unit
# **V**: 30.0 Å³/atom

=====

Repeat the first record exactly.
# BaNdAuS3, relaxed, DFT PBE
data_BaNdAuS3
_chemical_formula_sum 'Ba4 Nd4 Au4 S12'
_symmetry_space_group_name_H-M 'C 1 2/m 1'
_symmetry_Int_Tables_number 12
_symmetry_space_group_name_Hall '-C 2y'
_cell_length_a 18.1304
_cell_length_b 4.1406
_cell_length_c 8.5362
_cell_angle_alpha 90.00
_cell_angle_beta 101.87
_cell_angle_gamma 90.00
loop_
_atom_site_label
_atom_site_fract_x
_atom_site_fract_y
_atom_site_fract_z
Ba1 0.1312 0.0000 0.0778
Nd1 0.1624 0.0000 0.5865
Au1 0.0387 0.5000 0.7178
S1 0.0000 0.0000 0.5000
S2 0.0000 0.5000 0.0000
S3 0.1758 0.5000 0.3658
S4 0.1801 0.5000 0.8226
# **Calculated total energy**: -125.64 eV per cell
# **Total magnetic moment**: 0.003 μB per formula unit
# **V**: 26.1 Å³/atom

=====

Which value of calculated total energy does entry 2 give? -121.27 eV per cell

=====

Copy entry 3 word for word.
# BaNdTeAuS2, relaxed, DFT PBE
data_BaNdTeAuS2
_chemical_formula_sum 'Ba4 Nd4 Te4 Au4 S8'
_symmetry_space_group_name_H-M 'C m c m'
_symmetry_Int_Tables_number 63
_symmetry_space_group_name_Hall '-C 2c 2'
_cell_length_a 4.2268
_cell_length_b 15.0991
_cell_length_c 11.2992
_cell_angle_alpha 90.00
_cell_angle_beta 90.00
_cell_angle_gamma 90.00
loop_
_atom_site_label
_atom_site_fract_x
_atom_site_fract_y
_atom_site_fract_z
Ba1 0.0000 0.2120 0.2500
Nd1 0.0000 0.0000 0.0000
Te1 0.0000 0.1040 0.7500
Au1 0.0000 0.4827 0.7500
S1 0.0000 0.3803 0.5714
# **Calculated total energy**: -119.96 eV per cell
# **Total magnetic moment**: 0.005 μB per formula unit
# **V**: 30.0 Å³/atom

=====

The lowest V belongs to which entry? BaNdAuS3